[1]
The following is a DFT calculation (GGA-PBE) of a relaxed CeNi6B crystal.

a b c (Å): 3.5298 3.5298 8.1360
angles (deg): 90.00 90.00 90.00
With the nearest neighbours (Å) after each atom.
Sites, in units of the cell vectors:
Ce 0.0000 0.0000 0.0000  8 Ni 2.77
Ni 0.0000 0.5000 0.3540  2 B 2.13, 1 Ni 2.38
Ni 0.0000 0.5000 0.6460  2 B 2.13, 1 Ni 2.38
Ni 0.5000 0.0000 0.3540  2 B 2.13, 1 Ni 2.38
Ni 0.5000 0.0000 0.6460  2 B 2.13, 1 Ni 2.38
Ni 0.5000 0.5000 0.1490  5 Ni 2.42-2.43
Ni 0.5000 0.5000 0.8510  5 Ni 2.42-2.43
B 0.0000 0.0000 0.5000  8 Ni 2.13

Results
Formation energy ... -0.167 eV/atom
D(E_F) ... 8.660 states/eV per cell


[2]
The following is a DFT calculation (GGA-PBE) of a relaxed CeNi2B crystal.

a b c (Å): 3.3736 6.2850 5.4498
angles (deg): 90.00 107.93 90.00
With the nearest neighbours (Å) after each atom.
Sites, in units of the cell vectors:
Ce 0.0539 0.2500 0.1065  3 B 2.85-2.89, 10 Ni 2.87-3.15
Ce 0.9461 0.7500 0.8935  3 B 2.85-2.89, 10 Ni 2.87-3.15
Ni 0.3241 0.0609 0.6492  3 B 2.13-2.21, 1 Ni 2.38
Ni 0.3241 0.4391 0.6492  3 B 2.13-2.21, 1 Ni 2.38
Ni 0.6759 0.5609 0.3508  3 B 2.13-2.21, 1 Ni 2.38
Ni 0.6759 0.9391 0.3508  3 B 2.13-2.21, 1 Ni 2.38
B 0.2259 0.7500 0.4511  6 Ni 2.13-2.21
B 0.7741 0.2500 0.5489  6 Ni 2.13-2.21

Results
Formation energy ... -0.337 eV/atom
D(E_F) ... 10.209 states/eV per cell


[3]
The following is a DFT calculation (GGA-PBE) of a relaxed CeNi4B2 crystal.

a b c (Å): 5.2669 5.2669 3.0345
angles (deg): 92.35 92.35 98.80
With the nearest neighbours (Å) after each atom.
Sites, in units of the cell vectors:
Ce 0.0000 0.0000 0.0000  8 Ni 2.83-3.02, 2 B 2.94, 2 Ce 3.03
Ni 0.1834 0.5015 0.7371  3 B 2.04-2.06
Ni 0.4985 0.8166 0.2629  3 B 2.04-2.06
Ni 0.5015 0.1834 0.7371  3 B 2.04-2.06
Ni 0.8166 0.4985 0.2629  3 B 2.04-2.06
B 0.4217 0.4217 0.2440  2 B 1.83-1.88, 2 Ni 2.04
B 0.5783 0.5783 0.7560  2 B 1.83-1.88, 2 Ni 2.04

Results
Formation energy ... -0.257 eV/atom
D(E_F) ... 5.878 states/eV per cell


[4]
The following is a DFT calculation (GGA-PBE) of a relaxed CeNi4B crystal.

a b c (Å): 4.9921 4.9921 7.0415
angles (deg): 90.00 90.00 120.00
With the nearest neighbours (Å) after each atom.
Sites, in units of the cell vectors:
Ce 0.0000 0.0000 0.0000  6 B 2.88, 12 Ni 2.89
Ce 0.0000 0.0000 0.5000  6 Ni 2.88
Ni 0.0000 0.5000 0.2080  2 B 2.05
Ni 0.0000 0.5000 0.7920  2 B 2.05
Ni 0.3333 0.6667 0.5000  6 Ni 2.51
Ni 0.5000 0.0000 0.2080  2 B 2.05
Ni 0.5000 0.0000 0.7920  2 B 2.05
Ni 0.5000 0.5000 0.2080  2 B 2.05
Ni 0.5000 0.5000 0.7920  2 B 2.05
Ni 0.6667 0.3333 0.5000  6 Ni 2.51
B 0.3333 0.6667 0.0000  6 Ni 2.05
B 0.6667 0.3333 0.0000  6 Ni 2.05

Results
Formation energy ... -0.453 eV/atom
D(E_F) ... 12.120 states/eV per cell


[5]
The following is a DFT calculation (GGA-PBE) of a relaxed CeNi4B4 crystal.

a b c (Å): 7.2083 7.2083 3.7409
angles (deg): 90.00 90.00 90.00
With the nearest neighbours (Å) after each atom.
Sites, in units of the cell vectors:
Ce 0.2500 0.2500 0.2500  8 B 2.85, 8 Ni 3.05-3.07
Ce 0.7500 0.7500 0.7500  8 B 2.85, 8 Ni 3.05-3.07
Ni 0.1030 0.6469 0.1515  4 B 2.00-2.04
Ni 0.1469 0.8970 0.6515  4 B 2.00-2.04
Ni 0.3531 0.6030 0.6515  4 B 2.00-2.04
Ni 0.3970 0.8531 0.1515  4 B 2.00-2.04
Ni 0.6030 0.1469 0.8485  4 B 2.00-2.04
Ni 0.6469 0.3970 0.3485  4 B 2.00-2.04
Ni 0.8531 0.1030 0.3485  4 B 2.00-2.04
Ni 0.8970 0.3531 0.8485  4 B 2.00-2.04
B 0.0413 0.9179 0.1509  1 B 1.74
B 0.0821 0.5413 0.6509  1 B 1.74
B 0.4179 0.9587 0.6509  1 B 1.74
B 0.4587 0.5821 0.1509  1 B 1.74
B 0.5413 0.4179 0.8491  1 B 1.74
B 0.5821 0.0413 0.3491  1 B 1.74
B 0.9179 0.4587 0.3491  1 B 1.74
B 0.9587 0.0821 0.8491  1 B 1.74

Results
Formation energy ... -0.386 eV/atom
D(E_F) ... 13.850 states/eV per cell


[6]
The following is a DFT calculation (GGA-PBE) of a relaxed Ce2Ni5B4 crystal.

a b c (Å): 5.4739 5.4739 6.5705
angles (deg): 119.55 119.55 55.73
With the nearest neighbours (Å) after each atom.
Sites, in units of the cell vectors:
Ce 0.2347 0.2347 0.1530  5 B 2.82-2.93, 6 Ni 2.89-3.08
Ce 0.7653 0.7653 0.8470  5 B 2.82-2.93, 6 Ni 2.89-3.08
Ni 0.1667 0.6757 0.6271  4 B 2.04-2.21
Ni 0.3243 0.8333 0.3729  4 B 2.04-2.21
Ni 0.5000 0.5000 0.0000  2 B 2.03
Ni 0.6757 0.1667 0.6271  4 B 2.04-2.21
Ni 0.8333 0.3243 0.3729  4 B 2.04-2.21
B 0.0960 0.0960 0.6445  2 B 1.67-1.77
B 0.2773 0.2773 0.6693  1 B 1.67
B 0.7227 0.7227 0.3307  1 B 1.67
B 0.9040 0.9040 0.3555  2 B 1.67-1.77

Results
Formation energy ... -0.481 eV/atom
D(E_F) ... 7.400 states/eV per cell


[7]
The following is a DFT calculation (GGA-PBE) of a relaxed CeNiB4 crystal.

a b c (Å): 5.9699 5.9699 3.5002
angles (deg): 90.00 90.00 104.14
With the nearest neighbours (Å) after each atom.
Sites, in units of the cell vectors:
Ce 0.1999 0.8001 0.0000  14 B 2.64-2.76
Ce 0.8001 0.1999 0.0000  14 B 2.64-2.76
Ni 0.3250 0.3250 0.0000  10 B 2.27-2.33
Ni 0.6750 0.6750 0.0000  10 B 2.27-2.33
B 0.1222 0.4315 0.5000  3 B 1.75-1.84
B 0.1277 0.1277 0.5000  3 B 1.82-1.87
B 0.4093 0.5907 0.5000  3 B 1.71-1.75
B 0.4315 0.1222 0.5000  3 B 1.75-1.84
B 0.5685 0.8778 0.5000  3 B 1.75-1.84
B 0.5907 0.4093 0.5000  3 B 1.71-1.75
B 0.8723 0.8723 0.5000  3 B 1.82-1.87
B 0.8778 0.5685 0.5000  3 B 1.75-1.84

Results
Formation energy ... -0.480 eV/atom
D(E_F) ... 9.327 states/eV per cell


[8]
The following is a DFT calculation (GGA-PBE) of a relaxed CeNiB4 crystal.

a b c (Å): 6.8881 6.8881 6.8881
angles (deg): 112.86 112.86 102.90
With the nearest neighbours (Å) after each atom.
Sites, in units of the cell vectors:
Ce 0.2008 0.2008 0.0000  16 B 2.82-2.89, 4 Ni 3.10
Ce 0.2500 0.7500 0.5000  16 B 2.82-2.88, 4 Ni 2.98
Ce 0.7500 0.2500 0.5000  16 B 2.82-2.88, 4 Ni 2.98
Ce 0.7992 0.7992 0.0000  16 B 2.82-2.89, 4 Ni 3.10
Ni 0.2719 0.5000 0.7719  6 B 2.11-2.22
Ni 0.5000 0.2719 0.7719  6 B 2.11-2.22
Ni 0.5000 0.7281 0.2281  6 B 2.11-2.22
Ni 0.7281 0.5000 0.2281  6 B 2.11-2.22
B 0.1112 0.2744 0.3855  4 B 1.69-1.76
B 0.1112 0.7256 0.8368  4 B 1.69-1.76
B 0.1127 0.1127 0.5310  3 B 1.70-1.76
B 0.1127 0.5817 0.0000  3 B 1.70-1.76
B 0.2744 0.1112 0.3855  4 B 1.69-1.76
B 0.2744 0.8888 0.1632  4 B 1.69-1.76
B 0.4183 0.4183 0.5310  3 B 1.70-1.76
B 0.4183 0.8873 0.0000  3 B 1.70-1.76
B 0.5817 0.1127 0.0000  3 B 1.70-1.76
B 0.5817 0.5817 0.4690  3 B 1.70-1.76
B 0.7256 0.1112 0.8368  4 B 1.69-1.76
B 0.7256 0.8888 0.6145  4 B 1.69-1.76
B 0.8873 0.4183 0.0000  3 B 1.70-1.76
B 0.8873 0.8873 0.4690  3 B 1.70-1.76
B 0.8888 0.2744 0.1632  4 B 1.69-1.76
B 0.8888 0.7256 0.6145  4 B 1.69-1.76

Results
Formation energy ... -0.584 eV/atom
D(E_F) ... 17.583 states/eV per cell


[9]
The following is a DFT calculation (GGA-PBE) of a relaxed CeNi4B crystal.

a b c (Å): 7.0244 3.4303 6.2596
angles (deg): 90.00 90.00 90.00
With the nearest neighbours (Å) after each atom.
Sites, in units of the cell vectors:
Ce 0.2500 0.0000 0.1111  12 Ni 2.78-3.00, 1 B 2.79
Ce 0.7500 0.0000 0.8889  12 Ni 2.78-3.00, 1 B 2.79
Ni 0.0000 0.0000 0.5000  2 B 2.04
Ni 0.0690 0.5000 0.7920  2 B 2.28, 2 Ni 2.43-2.54
Ni 0.2500 0.5000 0.4611  2 B 2.14
Ni 0.4310 0.5000 0.7920  2 B 2.28, 2 Ni 2.43-2.54
Ni 0.5000 0.0000 0.5000  2 B 2.04
Ni 0.5690 0.5000 0.2080  2 B 2.28, 2 Ni 2.43-2.54
Ni 0.7500 0.5000 0.5389  2 B 2.14
Ni 0.9310 0.5000 0.2080  2 B 2.28, 2 Ni 2.43-2.54
B 0.2500 0.0000 0.6656  8 Ni 2.04-2.28
B 0.7500 0.0000 0.3344  8 Ni 2.04-2.28

Results
Formation energy ... -0.326 eV/atom
D(E_F) ... 7.007 states/eV per cell


[10]
The following is a DFT calculation (GGA-PBE) of a relaxed CeNi10B2 crystal.

a b c (Å): 7.9368 6.2171 5.9157
angles (deg): 81.67 50.81 47.52
With the nearest neighbours (Å) after each atom.
Sites, in units of the cell vectors:
Ce 0.0000 0.0000 0.0000  16 Ni 2.72-2.97
Ni 0.0000 0.0000 0.5000  10 Ni 2.31-2.53
Ni 0.0132 0.3417 0.6583  2 B 2.29, 7 Ni 2.34-2.55
Ni 0.2655 0.4810 0.5190  2 B 2.18, 4 Ni 2.34-2.42
Ni 0.3417 0.0132 0.9868  2 B 2.29, 7 Ni 2.34-2.55
Ni 0.4810 0.2655 0.7345  2 B 2.18, 4 Ni 2.34-2.42
Ni 0.5000 0.5000 0.0000  10 Ni 2.31-2.53
Ni 0.5190 0.7345 0.2655  2 B 2.18, 4 Ni 2.34-2.42
Ni 0.6583 0.9868 0.0132  2 B 2.29, 7 Ni 2.34-2.55
Ni 0.7345 0.5190 0.4810  2 B 2.18, 4 Ni 2.34-2.42
Ni 0.9868 0.6583 0.3417  2 B 2.29, 7 Ni 2.34-2.55
B 0.0000 0.5000 0.0000  8 Ni 2.18-2.29, 2 B 2.31
B 0.5000 0.0000 0.5000  8 Ni 2.18-2.29, 2 B 2.31

Results
Formation energy ... -0.167 eV/atom
D(E_F) ... 13.531 states/eV per cell


[11]
The following is a DFT calculation (GGA-PBE) of a relaxed CeNi6B2 crystal.

a b c (Å): 3.5606 3.5606 8.2531
angles (deg): 90.00 90.00 90.00
With the nearest neighbours (Å) after each atom.
Sites, in units of the cell vectors:
Ce 0.0000 0.0000 0.0000  8 B 2.88, 8 Ni 2.94
Ni 0.0000 0.0000 0.5000  12 Ni 2.52
Ni 0.0000 0.5000 0.2842  2 B 2.02
Ni 0.0000 0.5000 0.7158  2 B 2.02
Ni 0.5000 0.0000 0.2842  2 B 2.02
Ni 0.5000 0.0000 0.7158  2 B 2.02
Ni 0.5000 0.5000 0.5000  12 Ni 2.52, 2 B 2.73
B 0.5000 0.5000 0.1695  4 Ni 2.02
B 0.5000 0.5000 0.8305  4 Ni 2.02

Results
Formation energy ... -0.262 eV/atom
D(E_F) ... 10.128 states/eV per cell


[12]
The following is a DFT calculation (GGA-PBE) of a relaxed CeNi12B6 crystal.

a b c (Å): 6.0335 6.0335 6.0335
angles (deg): 104.53 104.53 104.53
With the nearest neighbours (Å) after each atom.
Sites, in units of the cell vectors:
Ce 0.0000 0.0000 0.0000  18 Ni 3.07-3.27, 6 B 3.14
Ni 0.1311 0.5000 0.8689  4 B 2.03-2.09
Ni 0.1311 0.8689 0.5000  4 B 2.03-2.09
Ni 0.1867 0.4544 0.4544  3 B 2.09-2.10
Ni 0.4544 0.1867 0.4544  3 B 2.09-2.10
Ni 0.4544 0.4544 0.1867  3 B 2.09-2.10
Ni 0.5000 0.1311 0.8689  4 B 2.03-2.09
Ni 0.5000 0.8689 0.1311  4 B 2.03-2.09
Ni 0.5456 0.5456 0.8133  3 B 2.09-2.10
Ni 0.5456 0.8133 0.5456  3 B 2.09-2.10
Ni 0.8133 0.5456 0.5456  3 B 2.09-2.10
Ni 0.8689 0.1311 0.5000  4 B 2.03-2.09
Ni 0.8689 0.5000 0.1311  4 B 2.03-2.09
B 0.2337 0.2337 0.6666  7 Ni 2.03-2.10
B 0.2337 0.6666 0.2337  7 Ni 2.03-2.10
B 0.3334 0.7663 0.7663  7 Ni 2.03-2.10
B 0.6666 0.2337 0.2337  7 Ni 2.03-2.10
B 0.7663 0.3334 0.7663  7 Ni 2.03-2.10
B 0.7663 0.7663 0.3334  7 Ni 2.03-2.10

Results
Formation energy ... -0.385 eV/atom
D(E_F) ... 12.010 states/eV per cell


[13]
The following is a DFT calculation (GGA-PBE) of a relaxed CeNi2B3 crystal.

a b c (Å): 7.2286 7.2286 7.2286
angles (deg): 116.39 116.39 96.38
With the nearest neighbours (Å) after each atom.
Sites, in units of the cell vectors:
Ce 0.0000 0.0000 0.0000  12 B 2.96-2.99, 8 Ni 3.06-3.16
Ce 0.3719 0.3719 0.0000  12 B 2.78-2.89, 4 Ni 2.83
Ce 0.4422 0.9422 0.5000  6 Ni 2.86-2.95, 12 B 2.88-3.16
Ce 0.9422 0.4422 0.5000  6 Ni 2.86-2.95, 12 B 2.88-3.16
Ni 0.3188 0.3188 0.5642  3 B 1.99-2.07
Ni 0.3188 0.7546 0.0000  3 B 1.99-2.07
Ni 0.4978 0.7252 0.7726  4 B 2.08-2.12
Ni 0.7252 0.4978 0.7726  4 B 2.08-2.12
Ni 0.7252 0.9526 0.2274  4 B 2.08-2.12
Ni 0.7546 0.3188 0.0000  3 B 1.99-2.07
Ni 0.7546 0.7546 0.4358  3 B 1.99-2.07
Ni 0.9526 0.7252 0.2274  4 B 2.08-2.12
B 0.0707 0.0707 0.4666  2 B 1.76
B 0.0707 0.6041 0.0000  2 B 1.76
B 0.0932 0.4788 0.1647  3 B 1.68-1.77
B 0.0932 0.9285 0.6144  3 B 1.68-1.77
B 0.3141 0.4788 0.3856  3 B 1.68-1.77
B 0.3141 0.9285 0.8353  3 B 1.68-1.77
B 0.4788 0.0932 0.1647  3 B 1.68-1.77
B 0.4788 0.3141 0.3856  3 B 1.68-1.77
B 0.6041 0.0707 0.0000  2 B 1.76
B 0.6041 0.6041 0.5334  2 B 1.76
B 0.9285 0.0932 0.6144  3 B 1.68-1.77
B 0.9285 0.3141 0.8353  3 B 1.68-1.77

Results
Formation energy ... -0.414 eV/atom
D(E_F) ... 16.420 states/eV per cell


[14]
The following is a DFT calculation (GGA-PBE) of a relaxed CeNi4B4 crystal.

a b c (Å): 5.0758 5.0758 7.1494
angles (deg): 90.00 90.00 90.00
With the nearest neighbours (Å) after each atom.
Sites, in units of the cell vectors:
Ce 0.2500 0.7500 0.2500  12 Ni 2.90-3.00, 12 B 2.91-2.96
Ce 0.7500 0.2500 0.7500  12 Ni 2.90-3.00, 12 B 2.91-2.96
Ni 0.0010 0.2500 0.1147  5 B 2.12-2.15
Ni 0.2500 0.0010 0.6147  5 B 2.12-2.15
Ni 0.2500 0.4990 0.6147  5 B 2.12-2.15
Ni 0.4990 0.2500 0.1147  5 B 2.12-2.15
Ni 0.5010 0.7500 0.8853  5 B 2.12-2.15
Ni 0.7500 0.5010 0.3853  5 B 2.12-2.15
Ni 0.7500 0.9990 0.3853  5 B 2.12-2.15
Ni 0.9990 0.7500 0.8853  5 B 2.12-2.15
B 0.0810 0.2500 0.4098  1 B 1.72
B 0.2500 0.0810 0.9098  1 B 1.72
B 0.2500 0.4190 0.9098  1 B 1.72
B 0.4190 0.2500 0.4098  1 B 1.72
B 0.5810 0.7500 0.5902  1 B 1.72
B 0.7500 0.5810 0.0902  1 B 1.72
B 0.7500 0.9190 0.0902  1 B 1.72
B 0.9190 0.7500 0.5902  1 B 1.72

Results
Formation energy ... -0.403 eV/atom
D(E_F) ... 15.711 states/eV per cell


[15]
The following is a DFT calculation (GGA-PBE) of a relaxed CeNi2B2 crystal.

a b c (Å): 5.3200 5.3200 3.9382
angles (deg): 104.11 104.11 35.40
With the nearest neighbours (Å) after each atom.
Sites, in units of the cell vectors:
Ce 0.0000 0.0000 0.0000  6 B 2.81-2.84, 8 Ni 2.99-3.13
Ni 0.3272 0.3272 0.4149  4 B 2.02-2.11
Ni 0.6728 0.6728 0.5851  4 B 2.02-2.11
B 0.2626 0.2626 0.8841  2 B 1.91, 4 Ni 2.02-2.11
B 0.7374 0.7374 0.1159  2 B 1.91, 4 Ni 2.02-2.11

Results
Formation energy ... -0.359 eV/atom
D(E_F) ... 6.068 states/eV per cell


[16]
The following is a DFT calculation (GGA-PBE) of a relaxed CeNi5B3 crystal.

a b c (Å): 5.6750 5.6750 10.8936
angles (deg): 90.00 90.00 145.33
With the nearest neighbours (Å) after each atom.
Sites, in units of the cell vectors:
Ce 0.1565 0.8435 0.7500  7 B 2.91-3.02, 10 Ni 3.00-3.21
Ce 0.8435 0.1565 0.2500  7 B 2.91-3.02, 10 Ni 3.00-3.21
Ni 0.0000 0.0000 0.0000  4 B 2.12, 2 Ni 2.35
Ni 0.0000 0.0000 0.5000  4 B 2.12, 2 Ni 2.35
Ni 0.2050 0.7950 0.0692  2 B 2.00-2.21
Ni 0.2050 0.7950 0.4308  2 B 2.00-2.21
Ni 0.4433 0.5567 0.6443  4 B 2.03-2.21
Ni 0.4433 0.5567 0.8557  4 B 2.03-2.21
Ni 0.5567 0.4433 0.1443  4 B 2.03-2.21
Ni 0.5567 0.4433 0.3557  4 B 2.03-2.21
Ni 0.7950 0.2050 0.5692  2 B 2.00-2.21
Ni 0.7950 0.2050 0.9308  2 B 2.00-2.21
B 0.1124 0.8876 0.2500  6 Ni 2.13-2.21
B 0.3861 0.6139 0.0332  5 Ni 2.00-2.21
B 0.3861 0.6139 0.4668  5 Ni 2.00-2.21
B 0.6139 0.3861 0.5332  5 Ni 2.00-2.21
B 0.6139 0.3861 0.9668  5 Ni 2.00-2.21
B 0.8876 0.1124 0.7500  6 Ni 2.13-2.21

Results
Formation energy ... -0.349 eV/atom
D(E_F) ... 12.689 states/eV per cell